Entry 1:
# MnAgPd PBE relaxed
data_MnAgPd
_cell_length_a 4.4558
_cell_length_b 4.4558
_cell_length_c 2.8406
_cell_angle_alpha 90.00
_cell_angle_beta 90.00
_cell_angle_gamma 120.00
_symmetry_space_group_name_H-M 'P -6 m 2'
_symmetry_Int_Tables_number 187
_symmetry_space_group_name_Hall 'P -6 2'
loop_
_atom_site_label
_atom_site_type_symbol
_atom_site_fract_x
_atom_site_fract_y
_atom_site_fract_z
Mn1 Mn 0.0000 0.0000 0.0000
Ag1 Ag 0.6667 0.3333 0.5000
Pd1 Pd 0.3333 0.6667 0.0000
# excess energy over the best structure of this formula in the dataset	0.25	eV per formula unit

=====

Entry 2:
# ZrPtAu2

A relaxed structure of ZrPtAu2 (PBE, the Alexandria database).

Geometry as CIF:
```
data_ZrPtAu2
_cell_length_a 6.630
_cell_length_b 6.630
_cell_length_c 6.630
_cell_angle_alpha 90.00
_cell_angle_beta 90.00
_cell_angle_gamma 90.00
_symmetry_space_group_name_H-M 'F m -3 m'
_symmetry_Int_Tables_number 225
_symmetry_space_group_name_Hall '-F 4 2 3'
loop_
_atom_site_label
_atom_site_type_symbol
_atom_site_fract_x
_atom_site_fract_y
_atom_site_fract_z
Zr1 Zr 0.000 0.000 0.000
Pt1 Pt 0.000 0.000 0.500
Au1 Au 0.250 0.250 0.250
```

=====

| no. | total DFT energy (no corrections) (eV/atom) |
| --- | --- |
| 1 | -5.6823 |
| 2 | -5.7789 |